A relaxed structure of Tm4CdRu3. Source: the Alexandria database, functional PBE-GGA. Values from VASP.

Computed properties:
volume: 161.8 Å³ per cell
ΔE_f: -0.4265 eV per atom
Fermi-level density of states: 2.25 states/eV/cell

Geometry as Quantum ESPRESSO input:
```
&SYSTEM
  ibrav = 0, nat = 8, ntyp = 3
/
ATOMIC_SPECIES
Tm 168.93 Tm.upf
Cd 112.41 Cd.upf
Ru 101.07 Ru.upf
CELL_PARAMETERS angstrom
4.8108 0.0000 0.0000
0.0000 4.8108 0.0000
0.0000 0.0000 6.9899
ATOMIC_POSITIONS crystal
Tm 0.0000 0.5000 0.2338
Tm 0.0000 0.5000 0.7662
Tm 0.5000 0.0000 0.2338
Tm 0.5000 0.0000 0.7662
Cd 0.0000 0.0000 0.5000
Ru 0.0000 0.0000 0.0000
Ru 0.5000 0.5000 0.0000
Ru 0.5000 0.5000 0.5000
```